1.
A relaxed structure of SrBPd2Rh. Source: Alexandria via LeMat-Bulk, functional PBE.

Cell: 4.3926 4.3926 4.2393 Å, 90.00 90.00 90.00°
Sites, in units of the cell vectors:
Sr 0.5000 0.5000 0.5000
B 0.0000 0.0000 0.0000
Rh 0.0000 0.0000 0.5000
Pd 0.0000 0.5000 0.0000
Pd 0.5000 0.0000 0.0000

## Properties
Energy of formation in eV/atom: -0.484
Magnetization in μB/f.u.: 0.000



2.
A relaxed structure of Hg4AsP. Source: Alexandria via LeMat-Bulk, functional PBE.

Cell: 5.8465 5.8465 5.8465 Å, 60.00 60.00 60.00°
Sites, in units of the cell vectors:
Hg 0.8748 0.3751 0.3751
Hg 0.3751 0.3751 0.8748
Hg 0.3751 0.8748 0.3751
Hg 0.3751 0.3751 0.3751
As 0.0000 0.0000 0.0000
P 0.7500 0.7500 0.7500

## Properties
Energy of formation in eV/atom: 0.731
Magnetization in μB/f.u.: 0.003



3.
A relaxed structure of Y2TlIr. Source: Alexandria via LeMat-Bulk, functional PBE.

Cell: 3.5438 3.5438 7.6206 Å, 90.00 90.00 90.00°
Sites, in units of the cell vectors:
Y 0.0000 0.0000 0.0354
Y 0.0000 0.0000 0.4646
Tl 0.5000 0.5000 0.7500
Ir 0.5000 0.5000 0.2500

## Properties
Energy of formation in eV/atom: -0.606
Offset from the most stable computed form in meV per atom: 0
Magnetization in μB/f.u.: 0.000



4.
A relaxed structure of NdIn12Pt4. Source: Alexandria via LeMat-Bulk, functional PBE.

Cell: 8.3383 8.3383 8.3383 Å, 109.47 109.47 109.47°
Sites, in units of the cell vectors:
Nd 0.0000 0.0000 0.0000
In 0.8398 0.3354 0.1752
In 0.3354 0.4957 0.1602
In 0.8248 0.1602 0.6646
In 0.3354 0.1752 0.8398
In 0.1752 0.8398 0.3354
In 0.6646 0.5043 0.8398
In 0.4957 0.1602 0.3354
In 0.5043 0.8398 0.6646
In 0.6646 0.8248 0.1602
In 0.8398 0.6646 0.5043
In 0.1602 0.3354 0.4957
In 0.1602 0.6646 0.8248
Pt 0.0000 0.5000 0.0000
Pt 0.5000 0.0000 0.0000
Pt 0.5000 0.5000 0.5000
Pt 0.0000 0.0000 0.5000

## Properties
Energy of formation in eV/atom: -0.246
Magnetization in μB/f.u.: 0.000



5.
A relaxed structure of Pm5Ga2Pb2. Source: Alexandria via LeMat-Bulk, functional PBE.

Cell: 8.0815 8.2217 9.0246 Å, 117.10 90.00 90.00°
Sites, in units of the cell vectors:
Pm 0.0000 0.0000 0.0000
Pm 0.5000 0.5000 0.0000
Pm 0.8262 0.8118 0.2646
Pm 0.1738 0.4528 0.2646
Pm 0.3262 0.9528 0.2646
Pm 0.6738 0.3118 0.2646
Pm 0.1738 0.1882 0.7354
Pm 0.8262 0.5472 0.7354
Pm 0.6738 0.0472 0.7354
Pm 0.3262 0.6882 0.7354
Ga 0.6178 0.8835 0.0000
Ga 0.3822 0.1165 0.0000
Ga 0.1178 0.6165 0.0000
Ga 0.8822 0.3835 0.0000
Pb 0.0000 0.2123 0.4245
Pb 0.5000 0.7123 0.4245
Pb 0.0000 0.7877 0.5755
Pb 0.5000 0.2877 0.5755

## Properties
Energy of formation in eV/atom: -0.534
Magnetization in μB/f.u.: 0.000



6.
A relaxed structure of LaSi. Source: Alexandria via LeMat-Bulk, functional PBE.

Cell: 8.7370 8.7370 8.7370 Å, 90.00 90.00 90.00°
Sites, in units of the cell vectors:
La 0.2938 0.2938 0.2938
La 0.2938 0.7062 0.7062
La 0.7062 0.2938 0.7062
La 0.7062 0.7062 0.2938
La 0.7938 0.7938 0.7938
La 0.7938 0.2062 0.2062
La 0.2062 0.7938 0.2062
La 0.2062 0.2062 0.7938
Si 0.1013 0.1013 0.1013
Si 0.1013 0.8987 0.8987
Si 0.8987 0.1013 0.8987
Si 0.8987 0.8987 0.1013
Si 0.6013 0.6013 0.6013
Si 0.6013 0.3987 0.3987
Si 0.3987 0.6013 0.3987
Si 0.3987 0.3987 0.6013

## Properties
Energy relative to the elements, uncorrected in eV per atom: 0.057
Magnetization in μB/f.u.: 0.002